Entry 1:
## BaLiMn2 (GGA-PBEsol)

Data for BaLiMn2 after structural relaxation.

calculated density = 4.82 Mg/m³
energy of formation from the pure elements = 0.82 eV per atom

Geometry as extended XYZ:
```
4
Lattice="-2.2237 -1.8626 -1.8673 0.2305 -2.5703 2.2894 -5.6057 2.8823 3.8003" Properties=species:S:1:pos:R:3 pbc="T T T"
Ba -0.9966 -2.2165 0.2110
Mn -3.7891 1.9483 2.5688
Mn -1.8165 0.9340 1.2315
Li -3.7994 -0.7753 2.1112
```

=====

Entry 2:
## BaLiMn2 (GGA-PBEsol)

Data for BaLiMn2 after structural relaxation.

calculated density = 5.00 Mg/m³
energy of formation from the pure elements = 0.80 eV per atom

Geometry as extended XYZ:
```
4
Lattice="-1.2911 -1.3988 2.7788 0.4253 -3.1959 -3.4525 5.3226 0.3497 2.6490" Properties=species:S:1:pos:R:3 pbc="T T T"
Mn 0.3096 -1.7014 -0.7126
Mn 4.1471 -2.5436 2.6879
Ba 2.6613 0.1748 1.3245
Li -0.6456 -0.6994 1.3894
```

=====

Entry 3:
## BaLiMn2 (GGA-PBEsol)

Data for BaLiMn2 after structural relaxation.

calculated density = 4.29 Mg/m³
energy of formation from the pure elements = 0.97 eV per atom

Geometry as extended XYZ:
```
4
Lattice="5.1796 0.0000 0.0000 2.5898 4.4857 0.0000 2.5898 1.4952 4.2292" Properties=species:S:1:pos:R:3 pbc="T T T"
Ba 0.0000 0.0000 0.0000
Mn 7.7695 4.4857 3.1719
Mn 2.5898 1.4952 1.0573
Li 5.1796 2.9905 2.1146
```

=====

Entry 4:
## BaLiMn2 (GGA-PBEsol)

Data for BaLiMn2 after structural relaxation.

calculated density = 4.70 Mg/m³
energy of formation from the pure elements = 0.87 eV per atom

Geometry as extended XYZ:
```
4
Lattice="5.0271 0.0000 0.0000 2.5135 4.3536 0.0000 2.5135 1.4512 4.1046" Properties=species:S:1:pos:R:3 pbc="T T T"
Ba 5.0271 2.9024 2.0523
Mn 7.5406 4.3536 3.0785
Mn 0.0000 0.0000 0.0000
Li 2.5135 1.4512 1.0262
```

=====

Entry 5:
## Ba2LiMo (GGA-PBEsol)

Data for Ba2LiMo after structural relaxation.

calculated density = 4.81 Mg/m³
energy of formation from the pure elements = 0.88 eV per atom

Geometry as extended XYZ:
```
4
Lattice="-5.5121 -0.3038 -1.3758 -3.0679 -4.5403 1.5304 -3.9722 0.4827 4.0443" Properties=species:S:1:pos:R:3 pbc="T T T"
Ba -3.1380 -1.0903 1.0497
Ba -9.4141 -3.2710 3.1491
Li -6.2761 -2.1807 2.0994
Mo 0.0000 0.0000 0.0000
```

=====

Entry 6:
## Ba2LiMo (GGA-PBEsol)

Data for Ba2LiMo after structural relaxation.

calculated density = 5.04 Mg/m³
energy of formation from the pure elements = 0.89 eV per atom

Geometry as extended XYZ:
```
4
Lattice="-0.9006 -2.2173 -2.8803 3.2046 -4.1156 2.1663 -5.7851 1.1418 3.3642" Properties=species:S:1:pos:R:3 pbc="T T T"
Ba -0.6410 -3.0381 2.5392
Ba -0.3437 -0.1502 0.2231
Mo -2.9753 -2.2121 0.1987
Li -4.1542 -1.8154 2.6963
```

=====

Entry 7:
## Ba2LiMo (GGA-PBEsol)

Data for Ba2LiMo after structural relaxation.

calculated density = 5.07 Mg/m³
energy of formation from the pure elements = 0.86 eV per atom

Geometry as extended XYZ:
```
4
Lattice="-2.3599 -0.0247 2.9037 2.8966 -0.2846 2.3517 0.4845 8.8031 0.4688" Properties=species:S:1:pos:R:3 pbc="T T T"
Mo 0.5977 5.8307 2.9464
Ba 0.4469 8.1195 0.4324
Ba 0.4267 2.7222 2.7809
Li 0.2766 5.0261 0.2676
```

=====

Entry 8:
## Ba2LiN (GGA-PBEsol)

Data for Ba2LiN after structural relaxation.

formation energy without anion corrections = -1.358 eV per formula unit
calculated density = 3.86 Mg/m³

Geometry as extended XYZ:
```
32
Lattice="8.0082 0.0000 0.0000 0.0000 8.0082 0.0000 0.0000 0.0000 15.8459" Properties=species:S:1:pos:R:3 pbc="T T T"
N 4.0041 1.9880 14.4374
N 6.0202 4.0041 1.4085
N 5.9921 0.0000 6.5144
N 4.0041 6.0202 14.4374
N 2.0161 0.0000 6.5144
N 0.0000 5.9921 9.3315
N 0.0000 2.0161 9.3315
N 1.9880 4.0041 1.4085
Ba 4.0041 6.2187 6.1772
Ba 5.7937 0.0000 14.1001
Ba 6.1233 0.0000 9.2776
Ba 2.2146 0.0000 14.1001
Ba 4.0041 5.8890 1.3546
Ba 0.0000 6.1233 6.5683
Ba 1.8849 0.0000 9.2776
Ba 1.7895 4.0041 9.6687
Ba 0.0000 2.2146 1.7458
Ba 5.8890 4.0041 14.4912
Ba 2.1192 4.0041 14.4912
Ba 0.0000 5.7937 1.7458
Ba 4.0041 2.1192 1.3546
Ba 6.2187 4.0041 9.6687
Ba 4.0041 1.7895 6.1772
Ba 0.0000 1.8849 6.5683
Li 5.8310 4.0041 3.3989
Li 0.0000 1.8269 11.3219
Li 1.8269 0.0000 4.5240
Li 4.0041 5.8310 12.4470
Li 4.0041 2.1773 12.4470
Li 0.0000 6.1814 11.3219
Li 2.1773 4.0041 3.3989
Li 6.1814 0.0000 4.5240
```

=====

> Which value of calculated density does entry 5 give?

4.81 Mg/m³

=====

> Which of these has the highest calculated density?

number 7

=====

> Look up the calculated density of the second one.

5.00 Mg/m³